Below is a geometry-optimized AlPAu2 structure, with properties calculated at the PBE-GGA level.

Values from the calculation:
Total magnetic moment (μB per cell): 0.00
ρ (g/cm3): 10.39
Polymorph energy (0 for the lowest one) (eV per formula unit): 0.088
Space group: No. 160
Energy relative to the elements (kJ/mol of formula units): -17
V (Å³ per atom): 18.051

Cell: 7.0567 7.0567 7.0567 Å, 28.82 28.82 28.82°
With the nearest neighbours (Å) after each atom.
Atoms (fractional coordinates):
1 Al 0.0000 0.0000 0.0000  3 P 2.54, 3 Au 2.62
2 P 0.7419 0.7419 0.7419  3 Al 2.54, 3 Au 2.55
3 Au 0.2512 0.2512 0.2512  3 Al 2.62, 3 Au 2.87
4 Au 0.4845 0.4845 0.4845  3 P 2.55